# Cs2DyTlCl6

A relaxed structure of Cs2DyTlCl6 (GGA-PBE, OQMD).

Properties
Spin magnetization ... 0.00 μB/f.u.
Symmetry ... Fm-3m, No. 225

a = 8.0456 Å, b = 8.0456 Å, c = 8.0456 Å
α = 60.00°, β = 60.00°, γ = 60.00°
Closest atoms and distances in Å follow each position.
Atoms (fractional coordinates):
Cl (0.7687, 0.2313, 0.2313)  1 Dy 2.63
Cl (0.2313, 0.7687, 0.2313)  1 Dy 2.63
Cl (0.7687, 0.7687, 0.2313)  1 Dy 2.63
Cl (0.2313, 0.2313, 0.7687)  1 Dy 2.63
Cl (0.7687, 0.2313, 0.7687)  1 Dy 2.63
Cl (0.2313, 0.7687, 0.7687)  1 Dy 2.63
Cs (0.2500, 0.2500, 0.2500)  12 Cl 4.03
Cs (0.7500, 0.7500, 0.7500)  12 Cl 4.03
Dy (0.0000, 0.0000, 0.0000)  6 Cl 2.63
Tl (0.5000, 0.5000, 0.5000)  6 Cl 3.06

---

# GdTlCdTe3

A relaxed structure of GdTlCdTe3 (GGA-PBE, OQMD).

Properties
Spin magnetization ... 0.00 μB/f.u.
Symmetry ... Pnma, No. 62

a = 12.9923 Å, b = 4.5876 Å, c = 13.5387 Å
α = 90.00°, β = 90.00°, γ = 90.00°
Closest atoms and distances in Å follow each position.
Atoms (fractional coordinates):
Cd (0.7532, 0.0000, 0.2019)  4 Te 2.82-2.87
Cd (0.2532, 0.0000, 0.2981)  4 Te 2.82-2.87
Cd (0.7468, 0.5000, 0.7019)  4 Te 2.82-2.87
Cd (0.2468, 0.5000, 0.7981)  4 Te 2.82-2.87
Gd (0.4695, 0.5000, 0.1760)  6 Te 3.11-3.34
Gd (0.9695, 0.5000, 0.3240)  6 Te 3.11-3.34
Gd (0.0304, 0.0000, 0.6760)  6 Te 3.11-3.34
Gd (0.5304, 0.0000, 0.8240)  6 Te 3.11-3.34
Te (0.5900, 0.0000, 0.0641)  1 Cd 2.82, 2 Gd 3.16
Te (0.9682, 0.0000, 0.1602)  1 Cd 2.85, 2 Gd 3.19
Te (0.2303, 0.5000, 0.1730)  2 Cd 2.87, 1 Gd 3.11
Te (0.7303, 0.5000, 0.3270)  2 Cd 2.87, 1 Gd 3.11
Te (0.4682, 0.0000, 0.3398)  1 Cd 2.85, 2 Gd 3.19
Te (0.0900, 0.0000, 0.4359)  1 Cd 2.82, 2 Gd 3.16
Te (0.9100, 0.5000, 0.5641)  1 Cd 2.82, 2 Gd 3.16
Te (0.5318, 0.5000, 0.6602)  1 Cd 2.85, 2 Gd 3.19
Te (0.2697, 0.0000, 0.6730)  2 Cd 2.87, 1 Gd 3.11
Te (0.7697, 0.0000, 0.8270)  2 Cd 2.87, 1 Gd 3.11
Te (0.0318, 0.5000, 0.8398)  1 Cd 2.85, 2 Gd 3.19
Te (0.4100, 0.5000, 0.9359)  1 Cd 2.82, 2 Gd 3.16
Tl (0.8323, 0.5000, 0.0078)  5 Te 3.45-3.55, 2 Cd 3.64
Tl (0.3323, 0.5000, 0.4922)  5 Te 3.45-3.55, 2 Cd 3.64
Tl (0.6677, 0.0000, 0.5078)  5 Te 3.45-3.55, 2 Cd 3.64
Tl (0.1677, 0.0000, 0.9922)  5 Te 3.45-3.55, 2 Cd 3.64

---

# SmScNi2Pb

A relaxed structure of SmScNi2Pb (GGA-PBE, OQMD).

Properties
Spin magnetization ... 0.00 μB/f.u.
Symmetry ... Amm2, No. 38

a = 3.5867 Å, b = 7.4115 Å, c = 7.4115 Å
α = 30.87°, β = 90.00°, γ = 90.00°
Closest atoms and distances in Å follow each position.
Atoms (fractional coordinates):
Ni (0.0000, 0.1955, 0.1955)  2 Ni 2.41, 1 Pb 2.68
Ni (0.0000, 0.7922, 0.7922)  2 Ni 2.41
Pb (0.0000, 0.0076, 0.0076)  1 Ni 2.68
Sc (0.5000, 0.6437, 0.6437)  6 Ni 2.77-2.78
Sm (0.5000, 0.3610, 0.3610)  6 Ni 2.84-2.97

---

# BeAlFeHg

A relaxed structure of BeAlFeHg (GGA-PBE, OQMD).

Properties
Spin magnetization ... 1.76 μB/f.u.
Symmetry ... F-43m, No. 216

a = 4.3024 Å, b = 4.3024 Å, c = 4.3024 Å
α = 60.00°, β = 60.00°, γ = 60.00°
Closest atoms and distances in Å follow each position.
Atoms (fractional coordinates):
Al (0.0000, 0.0000, 0.0000)  4 Fe 2.63, 4 Be 2.63
Be (0.2500, 0.2500, 0.2500)  4 Hg 2.63, 4 Al 2.63
Fe (0.7500, 0.7500, 0.7500)  4 Hg 2.63, 4 Al 2.63
Hg (0.5000, 0.5000, 0.5000)  4 Fe 2.63, 4 Be 2.63

---

# PdPb2Cl2O2

A relaxed structure of PdPb2Cl2O2 (GGA-PBE, OQMD).

Properties
Symmetry ... C2/m, No. 12

a = 6.1746 Å, b = 6.1746 Å, c = 7.3897 Å
α = 119.85°, β = 119.85°, γ = 36.94°
Closest atoms and distances in Å follow each position.
Atoms (fractional coordinates):
Cl (0.5613, 0.5613, 0.2871)  2 Pd 2.69
Cl (0.4387, 0.4387, 0.7129)  2 Pd 2.69
O (0.1914, 0.1914, 0.0718)  1 Pd 2.02
O (0.8086, 0.8086, 0.9282)  1 Pd 2.02
Pb (0.8138, 0.8138, 0.2506)  3 O 2.35-2.37
Pb (0.1862, 0.1862, 0.7494)  3 O 2.35-2.37
Pd (0.0000, 0.0000, 0.0000)  2 O 2.02

---

# ErFe2SiGe

A relaxed structure of ErFe2SiGe (GGA-PBE, OQMD).

Properties
Spin magnetization ... 0.53 μB/f.u.
Symmetry ... I4mm, No. 107

a = 5.5995 Å, b = 5.5995 Å, c = 5.5995 Å
α = 138.55°, β = 138.55°, γ = 60.06°
Closest atoms and distances in Å follow each position.
Atoms (fractional coordinates):
Er (0.9992, 0.9992, 0.0000)  4 Ge 3.06, 4 Si 3.09, 8 Fe 3.09-3.17
Fe (0.7545, 0.2545, 0.5000)  2 Si 2.25, 2 Ge 2.34
Fe (0.2545, 0.7545, 0.5000)  2 Si 2.25, 2 Ge 2.34
Ge (0.6271, 0.6271, 0.0000)  4 Fe 2.34, 1 Si 2.54
Si (0.3647, 0.3647, 0.0000)  4 Fe 2.25

---

# GdGeHO4

A relaxed structure of GdGeHO4 (GGA-PBE, OQMD).

Properties
Spin magnetization ... 0.00 μB/f.u.
Symmetry ... P2_1/c, No. 14

a = 8.0245 Å, b = 6.5674 Å, c = 7.0048 Å
α = 90.00°, β = 113.87°, γ = 90.00°
Closest atoms and distances in Å follow each position.
Atoms (fractional coordinates):
Gd (0.2198, 0.8630, 0.1086)  5 O 2.23-2.38
Gd (0.7802, 0.3630, 0.3914)  5 O 2.23-2.38
Gd (0.2198, 0.6370, 0.6086)  5 O 2.23-2.38
Gd (0.7802, 0.1370, 0.8914)  5 O 2.23-2.38
Ge (0.2409, 0.3833, 0.1246)  4 O 1.73-1.84
Ge (0.7591, 0.8833, 0.3754)  4 O 1.73-1.84
Ge (0.2409, 0.1167, 0.6246)  4 O 1.73-1.84
Ge (0.7591, 0.6167, 0.8754)  4 O 1.73-1.84
H (0.5407, 0.6664, 0.1256)  1 O 0.99
H (0.4593, 0.1664, 0.3744)  1 O 0.99
H (0.5407, 0.8336, 0.6256)  1 O 0.99
H (0.4593, 0.3336, 0.8744)  1 O 0.99
O (0.0801, 0.1900, 0.0407)  1 Ge 1.73
O (0.7230, 0.4640, 0.0604)  1 Ge 1.75
O (0.7780, 0.0651, 0.2045)  1 Ge 1.74
O (0.5450, 0.7416, 0.2498)  1 H 0.99
O (0.4550, 0.2416, 0.2502)  1 H 0.99
O (0.2220, 0.5651, 0.2955)  1 Ge 1.74
O (0.2770, 0.9640, 0.4396)  1 Ge 1.75
O (0.9199, 0.6900, 0.4593)  1 Ge 1.73
O (0.0801, 0.3100, 0.5407)  1 Ge 1.73
O (0.7230, 0.0360, 0.5604)  1 Ge 1.75
O (0.7780, 0.4349, 0.7045)  1 Ge 1.74
O (0.5450, 0.7584, 0.7498)  1 H 0.99
O (0.4550, 0.2584, 0.7502)  1 H 0.99
O (0.2220, 0.9349, 0.7955)  1 Ge 1.74
O (0.2770, 0.5360, 0.9396)  1 Ge 1.75
O (0.9199, 0.8100, 0.9593)  1 Ge 1.73

---

# Er3Cd3AgAu2

A relaxed structure of Er3Cd3AgAu2 (GGA-PBE, OQMD).

Properties
Formation enthalpy at 0 K ... -0.58 eV per atom
Spin magnetization ... 0.01 μB/f.u.
Symmetry ... Amm2, No. 38

a = 3.8182 Å, b = 7.8256 Å, c = 7.8256 Å
α = 120.08°, β = 90.00°, γ = 90.00°
Closest atoms and distances in Å follow each position.
Atoms (fractional coordinates):
Ag (0.0000, 0.9996, 0.9996)  6 Cd 2.80-2.81
Au (0.5000, 0.6676, 0.3331)  3 Cd 2.91-2.93, 6 Er 3.04-3.05
Au (0.5000, 0.3331, 0.6676)  3 Cd 2.91-2.93, 6 Er 3.04-3.05
Cd (0.5000, 0.9996, 0.2623)  2 Ag 2.81, 2 Au 2.91-2.93
Cd (0.5000, 0.7380, 0.7380)  2 Ag 2.80, 2 Au 2.93
Cd (0.5000, 0.2623, 0.9996)  2 Ag 2.81, 2 Au 2.91-2.93
Er (0.0000, 0.5918, 0.0000)  4 Au 3.04, 1 Ag 3.19, 6 Cd 3.21-3.39
Er (0.0000, 0.4080, 0.4080)  4 Au 3.05, 1 Ag 3.19, 6 Cd 3.21-3.39
Er (0.0000, 0.0000, 0.5918)  4 Au 3.04, 1 Ag 3.19, 6 Cd 3.21-3.39

---

# LaCuSi2Ir

A relaxed structure of LaCuSi2Ir (GGA-PBE, OQMD).

Properties
Spin magnetization ... 0.00 μB/f.u.
Symmetry ... I-4m2, No. 119

a = 5.8581 Å, b = 5.8581 Å, c = 5.8581 Å
α = 138.50°, β = 138.50°, γ = 60.14°
Closest atoms and distances in Å follow each position.
Atoms (fractional coordinates):
Cu (0.0000, 0.0000, 0.0000)  4 Si 2.44
Ir (0.5000, 0.5000, 0.0000)  4 Si 2.44
La (0.7500, 0.2500, 0.5000)  8 Si 3.19, 4 Ir 3.28, 4 Cu 3.28
Si (0.1261, 0.6261, 0.5000)  2 Cu 2.44, 2 Ir 2.44, 1 Si 2.51
Si (0.3739, 0.8739, 0.5000)  2 Ir 2.44, 2 Cu 2.44, 1 Si 2.51

---

# TaFeReB

A relaxed structure of TaFeReB (GGA-PBE, OQMD).

Properties
Spin magnetization ... 2.56 μB/f.u.
Symmetry ... F-43m, No. 216

a = 4.2191 Å, b = 4.2191 Å, c = 4.2191 Å
α = 60.00°, β = 60.00°, γ = 60.00°
Closest atoms and distances in Å follow each position.
Atoms (fractional coordinates):
B (0.0000, 0.0000, 0.0000)  4 Ta 2.58, 4 Fe 2.58
Fe (0.7500, 0.7500, 0.7500)  4 Re 2.58, 4 B 2.58
Re (0.5000, 0.5000, 0.5000)  4 Fe 2.58, 4 Ta 2.58
Ta (0.2500, 0.2500, 0.2500)  4 B 2.58, 4 Re 2.58

---

# ThBeB4

A relaxed structure of ThBeB4 (GGA-PBE, OQMD).

Properties
Spin magnetization ... 0.00 μB/f.u.
Symmetry ... Immm, No. 71

a = 5.1751 Å, b = 5.1751 Å, c = 5.1751 Å
α = 143.99°, β = 119.92°, γ = 72.08°
Closest atoms and distances in Å follow each position.
Atoms (fractional coordinates):
B (0.5625, 0.2402, 0.3223)  3 B 1.77-1.84
B (0.0820, 0.7598, 0.3223)  3 B 1.77-1.84
B (0.9180, 0.2402, 0.6777)  3 B 1.77-1.84
B (0.4375, 0.7598, 0.6777)  3 B 1.77-1.84
Be (0.0000, 0.0000, 0.0000)  12 B 2.61-2.85
Th (0.5000, 0.5000, 0.0000)  12 B 2.73-2.74, 4 Be 3.04

---

# Sm2I2NCl

A relaxed structure of Sm2I2NCl (GGA-PBE, OQMD).

Properties
Spin magnetization ... 0.00 μB/f.u.
Symmetry ... C2/m, No. 12

a = 9.4496 Å, b = 9.4496 Å, c = 12.5716 Å
α = 124.74°, β = 124.74°, γ = 24.75°
Closest atoms and distances in Å follow each position.
Atoms (fractional coordinates):
Cl (0.9602, 0.9602, 0.2131)  3 Sm 2.80-2.85
Cl (0.0398, 0.0398, 0.7869)  3 Sm 2.80-2.85
I (0.2391, 0.2391, 0.1361)  3 Sm 3.18-3.25
I (0.6525, 0.6525, 0.4940)  3 Sm 3.26-3.30
I (0.3475, 0.3475, 0.5060)  3 Sm 3.26-3.30
I (0.7609, 0.7609, 0.8639)  3 Sm 3.18-3.25
N (0.5758, 0.5758, 0.1471)  4 Sm 2.30-2.40
N (0.4242, 0.4242, 0.8529)  4 Sm 2.30-2.40
Sm (0.4220, 0.4220, 0.0339)  2 N 2.30-2.32
Sm (0.1346, 0.1346, 0.2730)  2 N 2.40
Sm (0.8654, 0.8654, 0.7270)  2 N 2.40
Sm (0.5780, 0.5780, 0.9661)  2 N 2.30-2.32

---

DFT total energy, respectively: -3.93; -3.66; -5.63; -3.66; -4.62; -6.81; -6.86; -3.43; -6.41; -9.21; -6.22; -5.46 eV per atom.